# MnCdAs2 (PBE, optimized geometry)
data_MnCdAs2
_chemical_formula_sum 'Mn2 Cd2 As4'
_cell_length_a 6.301
_cell_length_b 3.640
_cell_length_c 7.186
_cell_angle_alpha 90.00
_cell_angle_beta 107.26
_cell_angle_gamma 90.00
_space_group_name_H-M_alt 'C 1 2/m 1'
_space_group_IT_number 12
_space_group_name_Hall '-C 2y'
loop_
_atom_site_label
_atom_site_fract_x
_atom_site_fract_y
_atom_site_fract_z
Mn1 0.000 0.000 0.000
Cd1 0.000 0.500 0.500
As1 0.235 0.500 0.201
# Formation enthalpy at 0 K ... -18 meV per atom
# Electronic total energy ... -4.86 eV per atom